The following is a DFT calculation (PBE) of a relaxed structure of PrY3Zn.

Cell and atoms, written as extended XYZ:
```
10
Lattice="7.308 -0.090 -0.410 -2.086 7.004 0.410 -3.219 -2.998 6.324" Properties=species:S:1:pos:R:3 pbc="T T T"
Y 3.276 6.224 1.499
Y 1.871 1.856 4.825
Zn 0.129 -0.097 3.611
Pr 2.390 -1.805 4.640
Y 3.826 2.539 1.097
Zn 1.874 4.014 2.714
Y -1.273 -2.308 4.825
Y -1.823 1.377 5.227
Y 0.132 2.060 1.499
Pr -0.387 5.721 1.684
```

Calculated values
energy of formation: 0.04 eV per atom
space group: C2/m
density of states at the Fermi level: 1.517 states/eV per atom

---

The following is a DFT calculation (PBE) of a relaxed structure of Sm4Ho3Er8.

Cell and atoms, written as extended XYZ:
```
15
Lattice="6.077 0.000 3.278 2.155 5.682 3.278 -2.540 -1.754 11.983" Properties=species:S:1:pos:R:3 pbc="T T T"
Ho -1.270 -0.877 5.992
Er 2.476 3.818 6.298
Sm 5.437 3.753 4.465
Er 3.216 0.110 12.240
Er 5.531 3.818 7.946
Er 1.341 0.925 4.787
Sm 0.255 0.176 14.073
Ho 1.768 -0.877 7.630
Sm 0.000 0.000 0.000
Er 4.448 0.961 6.298
Er 1.243 2.968 12.240
Sm 2.846 1.964 9.269
Er 4.351 3.003 13.751
Er 0.160 0.110 10.592
Ho -0.193 1.964 7.630
```

Calculated values
energy of formation: 0.13 eV per atom
space group: R-3m
density of states at the Fermi level: 1.469 states/eV per atom

---

The following is a DFT calculation (PBE) of a relaxed structure of Ce2SmAl9.

Cell and atoms, written as extended XYZ:
```
12
Lattice="-3.056 -4.047 -2.404 -2.101 -4.161 3.125 -9.082 2.011 1.612" Properties=species:S:1:pos:R:3 pbc="T T T"
Al -3.478 -5.447 0.488
Sm 0.000 0.000 0.000
Al -5.948 -4.962 -0.526
Al -4.390 -2.899 0.699
Ce -5.910 -0.035 1.021
Al -5.461 -5.020 2.292
Al -7.120 -3.099 1.167
Al -9.849 -3.299 1.634
Al -8.291 -1.236 2.859
Al -8.778 -1.178 0.041
Al -10.761 -0.751 1.845
Ce -8.329 -6.163 1.312
```

Calculated values
energy of formation: -0.36 eV per atom
space group: R-3m
density of states at the Fermi level: 1.031 states/eV per atom

---

The following is a DFT calculation (PBE) of a relaxed structure of Cu3H2Rh.

Cell and atoms, written as extended XYZ:
```
12
Lattice="-1.600 -2.330 0.127 3.200 -3.828 1.628 -3.181 0.863 7.303" Properties=species:S:1:pos:R:3 pbc="T T T"
Cu -1.043 -0.798 3.750
Cu 1.040 -5.690 3.293
Cu -1.746 -3.500 8.389
Rh -0.150 -3.170 3.006
H -2.794 -2.857 6.954
Cu -0.538 -4.497 5.307
Cu -2.620 0.395 5.764
H 1.214 -2.438 2.103
Cu 0.166 -1.796 0.668
Rh -1.430 -2.125 6.051
H 0.940 -3.856 4.160
H -2.521 -1.439 4.897
```

Calculated values
space group: C2/m
density of states at the Fermi level: 0.360 states/eV per atom

---

The following is a DFT calculation (PBE) of a relaxed structure of Ba6H2BrN3.

Cell and atoms, written as extended XYZ:
```
12
Lattice="4.128 0.000 0.000 0.000 8.715 -0.177 -2.064 -3.024 9.232" Properties=species:S:1:pos:R:3 pbc="T T T"
Ba 0.000 6.138 0.230
N 2.064 -0.454 6.063
Ba 0.000 1.470 6.207
N 0.000 6.146 2.992
Ba 2.064 -0.546 3.352
Br 2.064 0.000 0.000
N 2.064 4.358 -0.088
H 0.000 1.824 3.209
Ba 0.000 6.238 5.704
Ba 2.064 4.222 2.849
H 2.064 3.867 5.846
Ba 2.064 -0.446 8.825
```

Calculated values
space group: C2/m

---

The following is a DFT calculation (PBE) of a relaxed structure of Rb2Pr2US6.

Cell and atoms, written as extended XYZ:
```
11
Lattice="-3.324 -6.264 -1.274 4.525 0.568 5.578 -6.362 4.144 3.156" Properties=species:S:1:pos:R:3 pbc="T T T"
Rb -1.992 -5.105 -0.112
S -2.862 2.687 4.224
S -1.682 -0.130 2.056
U -3.181 2.072 1.578
S 0.213 -2.053 5.428
Pr -3.884 -1.911 2.592
Pr -1.277 0.359 4.868
S -5.374 0.501 2.031
S -2.299 -4.240 3.236
S -3.479 -1.423 5.404
Rb 3.193 -0.591 4.415
```

Calculated values
space group: C2/m
density of states at the Fermi level: 0.629 states/eV per atom
formation energy from raw total energies: -1701 meV per atom

---

The following is a DFT calculation (PBE) of a relaxed structure of LuZnCdHg.

Cell and atoms, written as extended XYZ:
```
4
Lattice="4.921 0.000 0.000 2.460 4.261 0.000 2.460 1.420 4.018" Properties=species:S:1:pos:R:3 pbc="T T T"
Hg 4.921 2.841 2.009
Lu 2.460 1.420 1.004
Cd 7.381 4.261 3.013
Zn 0.000 0.000 0.000
```

Calculated values
energy of formation: -0.25 eV per atom
space group: F-43m
density of states at the Fermi level: 0.467 states/eV per atom

---

The following is a DFT calculation (PBE) of a relaxed structure of Si2HgSe.

Cell and atoms, written as extended XYZ:
```
4
Lattice="-2.160 3.723 4.390 -5.219 3.247 -0.150 2.343 -5.597 -0.991" Properties=species:S:1:pos:R:3 pbc="T T T"
Si 0.000 0.000 0.000
Se -1.753 0.806 2.760
Si -3.283 0.567 0.489
Hg -3.690 3.485 2.120
```

Calculated values
space group: I-4m2
density of states at the Fermi level: 0.380 states/eV per atom
formation energy from raw total energies: 555 meV per atom

---

no.,total magnetic moment (μB/cell),E (eV/atom)
1,0.0,-5.05
2,0.0,-4.48
3,1.7,-4.54
4,0.0,-4.36
5,0.1,-4.42
6,2.0,-6.02
7,0.0,-2.01
8,0.0,-3.10